# K2TiAlSb, optimized geometry, DFT GGA-PBE
data_K2TiAlSb
_chemical_formula_sum 'K2 Ti1 Al1 Sb1'
_cell_length_a 5.993
_cell_length_b 5.993
_cell_length_c 5.283
_cell_angle_alpha 90.00
_cell_angle_beta 90.00
_cell_angle_gamma 90.00
_space_group_name_H-M_alt 'P 4/m m m'
_space_group_IT_number 123
_space_group_name_Hall '-P 4 2'
loop_
_atom_site_label
_atom_site_fract_x
_atom_site_fract_y
_atom_site_fract_z
K1 0.000 0.500 0.000
Ti1 0.000 0.000 0.000
Al1 0.000 0.000 0.500
Sb1 0.500 0.500 0.500
# Density of states at the Fermi level (states/eV/cell): 5.29
# Spin magnetization (μB per cell): 2.8
# Mass density (Mg/m³): 2.4
# Uncorrected energy (eV per atom): -2.649
# Energy relative to the elements, uncorrected (eV/atom): 0.94